## LiZrNpS4 (PBE-GGA)

Data for crystalline LiZrNpS4 at its relaxed geometry.

Output
The calculation puts the mass density at 4.69 g cm⁻³. Its total energy is -7.1542 eV/atom. The calculation puts the formation energy without anion corrections at -1452 meV/atom. The density of states at the Fermi level comes out at 1.31 states/eV/atom.

Unit cell a=7.7383 b=7.7383 c=7.7383 alpha=121.96 beta=117.66 gamma=90.38
Closest atoms and distances in Å follow each position.
Element x y z (fractional)
Li  0.3803  0.1303  0.2500  4 S 2.47-2.55
Li  0.6197  0.8697  0.7500  4 S 2.47-2.55
Zr  0.0000  0.0000  0.5000  6 S 2.59-2.61
Zr  0.0000  0.5000  0.0000  6 S 2.59-2.61
Np  0.0000  0.5000  0.5000  6 S 2.72-2.73
Np  0.5000  0.5000  0.0000  6 S 2.72-2.73
S  0.2265  0.7498  0.4766  1 Li 2.55, 2 Zr 2.61, 1 Np 2.73
S  0.2268  0.2502  0.9766  1 Li 2.55, 2 Zr 2.61, 1 Np 2.73
S  0.2376  0.2436  0.5060  1 Li 2.47, 1 Zr 2.59, 2 Np 2.72
S  0.2376  0.7317  0.9940  1 Li 2.47, 1 Zr 2.59, 2 Np 2.72
S  0.7624  0.2683  0.0060  1 Li 2.47, 1 Zr 2.59, 2 Np 2.72
S  0.7624  0.7564  0.4940  1 Li 2.47, 1 Zr 2.59, 2 Np 2.72
S  0.7732  0.7498  0.0234  1 Li 2.55, 2 Zr 2.61, 1 Np 2.73
S  0.7735  0.2502  0.5234  1 Li 2.55, 2 Zr 2.61, 1 Np 2.73

---

## TbCeTm2Hg4 (PBE-GGA)

Data for crystalline TbCeTm2Hg4 at its relaxed geometry.

Output
The calculation puts the mass density at 11.47 g cm⁻³. Its total energy is -3.0087 eV/atom. The density of states at the Fermi level comes out at 1.74 states/eV/atom.

Unit cell a=9.1720 b=9.1720 c=9.1720 alpha=33.42 beta=33.42 gamma=33.42
Closest atoms and distances in Å follow each position.
Element x y z (fractional)
Tb  0.0000  0.0000  0.0000  8 Hg 3.19-3.22
Ce  0.5000  0.5000  0.5000  8 Hg 3.25-3.29
Tm  0.2498  0.2498  0.2498  8 Hg 3.20-3.30
Tm  0.7502  0.7502  0.7502  8 Hg 3.20-3.30
Hg  0.1228  0.1228  0.1228  1 Tb 3.19, 4 Tm 3.21-3.30, 3 Ce 3.25
Hg  0.3732  0.3732  0.3732  4 Tm 3.20-3.25, 3 Tb 3.22, 1 Ce 3.29
Hg  0.6268  0.6268  0.6268  4 Tm 3.20-3.25, 3 Tb 3.22, 1 Ce 3.29
Hg  0.8772  0.8772  0.8772  1 Tb 3.19, 4 Tm 3.21-3.30, 3 Ce 3.25

---

## Pu7SnRu5 (PBE-GGA)

Data for crystalline Pu7SnRu5 at its relaxed geometry.

Output
The calculation puts the mass density at 14.90 g cm⁻³. Its total energy is -11.6428 eV/atom. The density of states at the Fermi level comes out at 3.04 states/eV/atom.

Unit cell a=7.3707 b=7.3707 c=7.3707 alpha=135.02 beta=92.92 gamma=103.99
Closest atoms and distances in Å follow each position.
Element x y z (fractional)
Pu  0.0000  0.0000  0.0000  3 Pu 2.92-2.99, 1 Sn 3.07, 4 Ru 3.08
Pu  0.0819  0.5819  0.5000  2 Pu 2.48
Pu  0.1057  0.7768  0.3289  1 Pu 2.48, 2 Ru 2.66
Pu  0.3294  0.3294  0.0000  5 Pu 2.99-3.35, 1 Sn 3.01, 4 Ru 3.21
Pu  0.4479  0.7768  0.6711  1 Pu 2.48, 2 Ru 2.66
Pu  0.6268  0.2807  0.3461  5 Ru 2.73-2.92
Pu  0.9346  0.2807  0.6539  5 Ru 2.73-2.92
Sn  0.6614  0.6614  0.0000  2 Pu 3.01-3.07, 6 Ru 3.04-3.05
Ru  0.2819  0.2690  0.5223  4 Pu 2.66-2.92, 3 Ru 2.77-2.87
Ru  0.2819  0.7596  0.0129  4 Pu 2.66-2.92, 3 Ru 2.77-2.87
Ru  0.5339  0.0339  0.5000  4 Pu 2.73-2.91, 4 Ru 2.77, 2 Sn 3.05
Ru  0.7467  0.2690  0.9871  4 Pu 2.66-2.92, 3 Ru 2.77-2.87
Ru  0.7467  0.7596  0.4777  4 Pu 2.66-2.92, 3 Ru 2.77-2.87

---

## CaNdP2Rh5 (PBE-GGA)

Data for crystalline CaNdP2Rh5 at its relaxed geometry.

Output
The calculation puts the mass density at 8.32 g cm⁻³. Its total energy is -6.8886 eV/atom. The density of states at the Fermi level comes out at 0.39 states/eV/atom.

Unit cell a=4.1251 b=4.1251 c=8.9261 alpha=90.00 beta=90.00 gamma=90.00
Closest atoms and distances in Å follow each position.
Element x y z (fractional)
Ca  0.0000  0.0000  0.0000  8 Rh 3.07, 8 P 3.18
Nd  0.0000  0.0000  0.5000  12 Rh 2.92-3.01
P  0.5000  0.5000  0.1423  4 Rh 2.29, 1 P 2.54
P  0.5000  0.5000  0.8577  4 Rh 2.29, 1 P 2.54
Rh  0.0000  0.5000  0.2548  2 P 2.29
Rh  0.0000  0.5000  0.7452  2 P 2.29
Rh  0.5000  0.0000  0.2548  2 P 2.29
Rh  0.5000  0.0000  0.7452  2 P 2.29
Rh  0.5000  0.5000  0.5000  4 Nd 2.92, 8 Rh 3.01, 2 P 3.19

---

## Ca2Nd2In3 (PBE-GGA)

Data for crystalline Ca2Nd2In3 at its relaxed geometry.

Output
The calculation puts the mass density at 5.45 g cm⁻³. Its total energy is -3.4847 eV/atom. The density of states at the Fermi level comes out at 1.05 states/eV/atom.

Unit cell a=16.5862 b=16.5862 c=3.5618 alpha=90.00 beta=90.00 gamma=167.20
Closest atoms and distances in Å follow each position.
Element x y z (fractional)
Ca  0.1973  0.8027  0.0000  4 In 3.31, 4 Ca 3.56-3.70
Ca  0.8027  0.1973  0.0000  4 In 3.31, 4 Ca 3.56-3.70
Nd  0.0669  0.9331  0.0000  8 In 3.38-3.39, 4 Nd 3.56-3.70
Nd  0.9331  0.0669  0.0000  8 In 3.38-3.39, 4 Nd 3.56-3.70
In  0.3660  0.6340  0.5000  4 Ca 3.31, 4 Nd 3.39, 4 In 3.56-3.70
In  0.5000  0.5000  0.5000  8 Nd 3.38, 4 In 3.56-3.70
In  0.6340  0.3660  0.5000  4 Ca 3.31, 4 Nd 3.39, 4 In 3.56-3.70

---

## SrNi2Se (PBE-GGA)

Data for crystalline SrNi2Se at its relaxed geometry.

Output
The calculation puts the mass density at 6.39 g cm⁻³. Its total energy is -4.1201 eV/atom. The calculation puts the formation energy without anion corrections at 62 meV/atom. The density of states at the Fermi level comes out at 0.97 states/eV/atom.

Unit cell a=5.1650 b=5.1650 c=5.1650 alpha=132.34 beta=132.34 gamma=69.69
Closest atoms and distances in Å follow each position.
Element x y z (fractional)
Sr  0.0000  0.0000  0.0000  4 Se 2.95, 8 Ni 2.97
Ni  0.2500  0.7500  0.5000  4 Ni 2.95, 4 Se 2.97, 4 Sr 2.97
Ni  0.7500  0.2500  0.5000  4 Ni 2.95, 4 Se 2.97, 4 Sr 2.97
Se  0.5000  0.5000  0.0000  4 Sr 2.95, 8 Ni 2.97

---

## SrOs2 (PBE-GGA)

Data for crystalline SrOs2 at its relaxed geometry.

Output
The calculation puts the mass density at 10.79 g cm⁻³. Its total energy is -7.3782 eV/atom. The density of states at the Fermi level comes out at 1.03 states/eV/atom.

Unit cell a=4.9325 b=4.9325 c=10.5925 alpha=102.95 beta=102.95 gamma=35.12
Closest atoms and distances in Å follow each position.
Element x y z (fractional)
Sr  0.1678  0.1678  0.1687  2 Sr 2.98, 4 Os 3.16-3.21
Sr  0.8322  0.8322  0.8313  2 Sr 2.98, 4 Os 3.16-3.21
Os  0.1814  0.1814  0.5709  7 Os 2.62-2.66
Os  0.4724  0.4724  0.6209  6 Os 2.62-2.73
Os  0.5276  0.5276  0.3791  6 Os 2.62-2.73
Os  0.8186  0.8186  0.4291  7 Os 2.62-2.66

---

## KPbW3 (PBE-GGA)

Data for crystalline KPbW3 at its relaxed geometry.

Output
Its relative energy among the computed polymorphs is 0.0000 eV/atom. The calculation puts the mass density at 9.59 g cm⁻³. Its total energy is -5.5808 eV/atom. The density of states at the Fermi level comes out at 2.22 states/eV/atom.

Unit cell a=5.1690 b=5.1690 c=5.1690 alpha=90.00 beta=90.00 gamma=90.00
Closest atoms and distances in Å follow each position.
Element x y z (fractional)
K  0.0000  0.0000  0.0000  12 W 3.66
Pb  0.5000  0.5000  0.5000  6 W 2.58
W  0.0000  0.5000  0.5000  2 Pb 2.58
W  0.5000  0.0000  0.5000  2 Pb 2.58
W  0.5000  0.5000  0.0000  2 Pb 2.58

---

## ReNi2W (PBE-GGA)

Data for crystalline ReNi2W at its relaxed geometry.

Output
The calculation puts the mass density at 15.32 g cm⁻³. Its total energy is -9.1798 eV/atom. The density of states at the Fermi level comes out at 1.25 states/eV/atom.

Unit cell a=2.6234 b=3.8348 c=5.2532 alpha=90.00 beta=90.12 gamma=90.00
Closest atoms and distances in Å follow each position.
Element x y z (fractional)
Re  0.0000  0.0000  0.0000  2 Re 2.62, 2 W 2.63, 8 Ni 2.65
Ni  0.5003  0.5000  0.2439  4 Ni 2.56-2.69, 4 Re 2.65, 4 W 2.68-2.69
Ni  0.4997  0.5000  0.7561  4 Ni 2.56-2.69, 4 Re 2.65, 4 W 2.68-2.69
W  0.0000  0.0000  0.5000  2 W 2.62, 2 Re 2.63, 8 Ni 2.68-2.69

---

## Pm5Er12Pu (PBE-GGA)

Data for crystalline Pm5Er12Pu at its relaxed geometry.

Output
The calculation puts the mass density at 8.59 g cm⁻³. Its total energy is -5.0175 eV/atom. The density of states at the Fermi level comes out at 1.82 states/eV/atom.

Unit cell a=7.7591 b=7.7591 c=10.9870 alpha=111.14 beta=111.14 gamma=84.03
Closest atoms and distances in Å follow each position.
Element x y z (fractional)
Pm  0.0000  0.0000  0.0000  10 Er 3.45-3.63, 2 Pm 3.48
Pm  0.1722  0.8278  0.5000  8 Er 3.35-3.61, 1 Pu 3.40, 1 Pm 3.58
Pm  0.3346  0.6654  0.0000  10 Er 3.42-3.65, 2 Pm 3.44-3.48
Pm  0.6654  0.3346  0.0000  10 Er 3.42-3.65, 2 Pm 3.44-3.48
Pm  0.8278  0.1722  0.5000  8 Er 3.35-3.61, 1 Pu 3.40, 1 Pm 3.58
Er  0.0039  0.6725  0.1509  4 Pm 3.35-3.51, 7 Er 3.41-3.64
Er  0.0295  0.3590  0.3289  7 Er 3.42-3.77, 4 Pm 3.52-3.65, 1 Pu 3.53
Er  0.3107  0.3107  0.6673  1 Pu 3.47, 7 Er 3.48-3.70, 4 Pm 3.61-3.65
Er  0.3275  0.9961  0.8491  4 Pm 3.35-3.51, 7 Er 3.41-3.64
Er  0.3421  0.3421  0.1581  1 Pu 3.28, 3 Pm 3.45-3.51, 7 Er 3.46-3.53
Er  0.3590  0.0295  0.3289  7 Er 3.42-3.77, 4 Pm 3.52-3.65, 1 Pu 3.53
Er  0.6410  0.9705  0.6711  7 Er 3.42-3.77, 4 Pm 3.52-3.65, 1 Pu 3.53
Er  0.6579  0.6579  0.8419  1 Pu 3.28, 3 Pm 3.45-3.51, 7 Er 3.46-3.53
Er  0.6725  0.0039  0.1509  4 Pm 3.35-3.51, 7 Er 3.41-3.64
Er  0.6893  0.6893  0.3327  1 Pu 3.47, 7 Er 3.48-3.70, 4 Pm 3.61-3.65
Er  0.9705  0.6410  0.6711  7 Er 3.42-3.77, 4 Pm 3.52-3.65, 1 Pu 3.53
Er  0.9961  0.3275  0.8491  4 Pm 3.35-3.51, 7 Er 3.41-3.64
Pu  0.5000  0.5000  0.5000  8 Er 3.28-3.53, 2 Pm 3.40

---

## AsBrCl (PBE-GGA)

Data for crystalline AsBrCl at its relaxed geometry.

Output
Its relative energy among the computed polymorphs is 0.6869 eV/atom. The calculation puts the mass density at 4.08 g cm⁻³. Its total energy is -2.5236 eV/atom. The calculation puts the formation energy without anion corrections at 199 meV/atom. The density of states at the Fermi level comes out at 0.53 states/eV/atom.

Unit cell a=7.4532 b=7.4532 c=7.4532 alpha=154.35 beta=154.35 gamma=36.59
Closest atoms and distances in Å follow each position.
Element x y z (fractional)
As  0.0000  0.0000  0.0000  4 Cl 2.88, 4 Br 2.93
Br  0.6243  0.6243  0.0000  4 As 2.93
Cl  0.3810  0.3810  0.0000  4 As 2.88

---

## Y2CuMoAs (PBE-GGA)

Data for crystalline Y2CuMoAs at its relaxed geometry.

Output
The calculation puts the mass density at 5.30 g cm⁻³. Its total energy is -6.1012 eV/atom. The density of states at the Fermi level comes out at 1.07 states/eV/atom.

Unit cell a=5.4360 b=5.4360 c=4.3674 alpha=90.00 beta=90.00 gamma=90.00
Closest atoms and distances in Å follow each position.
Element x y z (fractional)
Y  0.0000  0.5000  0.0000  2 As 2.72
Y  0.5000  0.0000  0.0000  2 As 2.72
Cu  0.0000  0.0000  0.5000  2 As 2.18
Mo  0.5000  0.5000  0.5000  8 Y 3.49, 4 Cu 3.84
As  0.0000  0.0000  0.0000  2 Cu 2.18